No. 1
First-principles (GGA-PBE) data for Cu3Ag5Cl12 after structural relaxation, as listed in Alexandria via LeMat-Bulk.

Computed properties:
Its uncorrected formation energy is -0.41 eV/atom. For the spin magnetization, the calculation gives 0.0 μB per cell. For the total energy, the calculation gives -2.85 eV/atom. As for the space group: Ia-3d, No. 230.

Geometry as POSCAR:
```
Cu3Ag5Cl12
1.0
-10.0754 8.9979 2.2790
-5.3298 -11.7617 -4.5743
6.7951 -2.2995 11.6708
Cu Ag Cl
12 20 48
Cartesian
-8.7058 2.0503 1.4527
-11.9639 -1.2356 0.0222
-3.5286 -6.8843 4.7181
-0.6369 -0.0831 4.3745
-7.7834 5.8281 4.3401
-5.4106 -4.5518 0.9134
-3.1994 -0.5116 8.4621
-0.8266 -10.8914 5.0354
-7.9731 -4.9803 5.0010
-5.0814 1.8209 4.6574
3.3539 -3.8278 9.3532
0.0958 -7.1137 7.9227
-1.5593 -3.8608 1.4872
-2.6649 -5.8809 -2.2872
0.0000 0.0000 0.0000
-4.2613 0.1463 1.1699
-1.6401 3.3492 6.9749
-7.7026 -1.3819 -1.1477
-2.7086 -8.5589 1.2307
-2.2770 3.2661 11.3494
-8.3395 -1.4650 3.2269
0.6519 0.1793 9.0359
-9.2619 -5.2427 0.3395
-4.3050 -2.5317 4.6877
-5.0377 4.4989 1.1395
3.3976 -1.1498 5.8354
-0.2705 -3.5984 6.1486
-6.3330 -8.3295 -1.9739
0.7327 -7.0306 3.5482
-5.9014 3.4955 8.1448
-4.3487 -5.2097 8.2056
-7.0507 -1.2026 7.8883
-0.5364 1.1593 12.0312
-4.1941 -3.0864 2.1127
0.7164 -4.4435 3.0412
-4.2439 2.5186 2.6883
-3.3608 -4.8191 5.5970
-2.9902 -8.3961 -1.5671
-4.5221 -8.3966 3.3796
-1.1255 0.6346 2.2981
-2.8328 4.6284 8.9477
-7.6258 0.1250 1.0143
-9.4867 1.1049 3.3400
-6.2829 -3.8886 9.7697
-1.8655 -6.7395 3.2086
1.5700 -2.8138 10.2779
-11.5319 -1.7055 2.1805
-1.8941 1.3140 8.6315
-9.3529 6.5374 2.8913
-7.2504 -3.2904 0.6142
-6.4461 6.1346 6.1242
-3.4820 -5.4528 0.1826
2.6953 0.6126 10.9253
-6.8692 -3.0198 5.0583
-9.3762 -4.0701 3.4949
-10.3792 3.5126 1.0962
-1.7408 -2.0436 4.3172
0.7662 -0.9933 5.8806
1.7692 -8.5759 8.2792
-2.1638 -11.1980 3.2512
-11.3053 -5.6760 -1.5499
-5.1280 0.3894 9.1929
-1.3596 -1.7730 8.7613
-6.7159 -6.3774 0.7440
0.7429 -11.6008 6.4842
2.9219 -3.3579 7.1950
-6.7445 1.6762 6.1668
-2.3271 -1.1747 -0.3943
-10.1800 -2.2496 -0.9024
-5.7772 -9.6917 0.4278
-0.9842 -5.1884 8.3612
0.8767 -6.1683 6.0354
-7.4844 -5.6980 7.0774
-4.0879 3.3332 5.9958
-4.3661 -7.5819 6.6872
-5.6198 3.3327 10.9425
-5.2492 -0.2442 3.7785
-9.3264 -0.6199 6.3343
-4.4159 -1.9769 7.2627
-8.0736 -6.2227 -2.6558
```

No. 2
First-principles (GGA-PBE) data for Cu3Ag2Cl7 after structural relaxation, as listed in Alexandria via LeMat-Bulk.

Computed properties:
Its uncorrected formation energy is -0.45 eV/atom. For the spin magnetization, the calculation gives 2.9 μB per cell. For the total energy, the calculation gives -3.02 eV/atom. As for the space group: Cmc2_1, No. 36.

Geometry as POSCAR:
```
Cu3Ag2Cl7
1.0
6.4919 0.0000 0.0000
0.0000 6.2569 -1.7695
0.0000 0.5376 13.8481
Cu Ag Cl
6 4 14
Cartesian
5.6071 4.3407 -1.2276
2.3611 1.9162 -0.5419
4.3029 0.3893 5.8180
1.0569 6.4052 6.2607
4.3029 4.0792 6.9185
1.0569 2.7154 5.1602
5.2434 1.4139 10.8745
1.9975 5.3806 1.2042
1.9975 4.4906 10.0044
5.2434 2.3039 2.0743
3.3533 2.4592 5.4820
0.1074 4.3353 6.5967
0.1074 0.7761 5.9580
3.3533 6.0185 6.1207
0.6904 3.4200 3.0695
3.9363 3.3745 9.0092
3.9363 4.9509 2.6365
0.6904 1.8436 9.4421
6.3448 5.9729 0.1892
3.0988 0.8216 11.8895
0.0966 2.3350 -0.6603
3.3426 3.9220 -1.1091
6.3448 5.5268 10.5589
3.0988 1.2677 1.5198
```

No. 3
First-principles (GGA-PBE) data for CuAgCl3 after structural relaxation, as listed in Alexandria via LeMat-Bulk.

Computed properties:
Its uncorrected formation energy is -0.46 eV/atom. The value obtained for the energy above the most stable polymorph in this dataset is 0.000 eV per formula unit. For the spin magnetization, the calculation gives 2.4 μB per cell. For the total energy, the calculation gives -2.96 eV/atom. As for the space group: C2/c, No. 15.

Geometry as POSCAR:
```
CuAgCl3
1.0
6.4898 0.1251 1.0754
1.2723 8.5117 0.4900
0.0904 -0.0646 8.6194
Cu Ag Cl
4 4 12
Cartesian
5.3867 5.1934 7.7362
5.5098 1.9837 4.3679
2.4658 3.3787 2.4487
2.3427 6.5884 5.8169
2.7857 7.7517 1.5088
5.0668 0.8204 8.6760
2.0424 2.3580 6.6215
5.8101 6.2141 3.5633
5.1561 6.7409 9.4269
5.7279 0.3455 2.7631
2.6963 1.8311 0.7579
2.1246 8.2265 7.4217
6.3156 3.3101 8.5553
4.2170 1.2263 6.0519
1.5369 5.2620 1.6295
3.6354 7.3458 4.1329
3.3157 4.8071 6.8598
1.1139 2.4108 4.0116
4.5368 3.7649 3.3250
6.7386 6.1613 6.1732
```

No. 4
First-principles (GGA-PBE) data for CuAgCl5 after structural relaxation, as listed in Alexandria via LeMat-Bulk.

Computed properties:
Its uncorrected formation energy is -0.23 eV/atom. For the spin magnetization, the calculation gives 0.0 μB per cell. For the total energy, the calculation gives -2.54 eV/atom. As for the space group: C2/c, No. 15.

Geometry as POSCAR:
```
CuAgCl5
1.0
-5.0437 -2.1248 -3.3667
0.1683 -6.3521 -0.9548
-7.3304 -5.8779 5.5386
Cu Ag Cl
2 2 10
Cartesian
0.0000 0.0000 0.0000
-3.6652 -2.9390 2.7693
-4.3565 -5.6381 -0.8160
-7.8493 -8.7168 2.0331
-5.3210 -6.9764 -2.7048
-4.3011 -7.3213 1.2184
-8.0092 -10.7077 0.5166
-6.1245 -4.2042 -1.6341
-1.8883 -6.0016 -1.6825
-10.3175 -8.3533 2.8996
-6.0814 -10.1507 2.8512
-4.1966 -3.6471 0.7005
-7.9047 -7.0336 -0.0013
-6.8848 -7.3785 3.9219
```

No. 5
First-principles (GGA-PBE) data for CuAgCl after structural relaxation, as listed in Alexandria via LeMat-Bulk.

Computed properties:
Its uncorrected formation energy is 0.25 eV/atom. The value obtained for the energy above the most stable polymorph in this dataset is 1.021 eV per formula unit. For the spin magnetization, the calculation gives 0.0 μB per cell. For the total energy, the calculation gives -2.68 eV/atom. As for the space group: F-43m, No. 216.

Geometry as POSCAR:
```
CuAgCl
1.0
4.4041 0.0000 0.0000
2.2020 3.8140 0.0000
2.2020 1.2713 3.5959
Cu Ag Cl
1 1 1
Cartesian
2.2020 1.2713 0.8990
0.0000 0.0000 0.0000
4.4041 2.5427 1.7980
```

No. 6
First-principles (GGA-PBE) data for CuAg2Cl4 after structural relaxation, as listed in Alexandria via LeMat-Bulk.

Computed properties:
Its uncorrected formation energy is -0.44 eV/atom. The value obtained for the energy above the most stable polymorph in this dataset is 0.088 eV per formula unit. For the spin magnetization, the calculation gives 3.8 μB per cell. For the total energy, the calculation gives -2.89 eV/atom. As for the space group: P4_122, No. 91.

Geometry as POSCAR:
```
CuAg2Cl4
1.0
-6.3731 1.0305 -4.9674
3.4927 -4.8934 -5.4963
-4.4721 -7.8155 4.1164
Ag Cu Cl
8 4 16
Cartesian
-6.0700 -9.7311 -4.2332
0.4553 -4.3822 -4.8489
-6.6899 -5.3423 -2.5275
-2.4006 -3.9012 -1.0849
-4.0977 -3.6364 -5.4026
-2.2839 -0.7494 -3.9041
-2.8326 -7.0212 -4.5013
-3.2549 -8.0420 -0.9446
0.3689 -7.5575 -2.0411
-1.4812 -10.4931 -3.6715
-5.8714 -1.1853 -2.6758
-5.4854 -0.2132 -6.3643
-0.3679 -8.6510 -4.4306
-3.5923 -7.7802 -7.2549
-2.7245 -7.1453 1.8213
-4.9316 0.5605 -3.8063
0.1130 -2.1199 -3.6379
-3.7877 -2.6064 -2.8459
-3.6641 -9.2455 -3.4100
-1.7698 -6.2102 -2.0710
-7.7196 -9.2025 -2.3095
-5.3287 -5.8242 -4.6761
-5.4609 -6.4157 -0.5177
-1.7924 -5.0893 -5.9209
-6.4955 -1.9168 -5.2299
-5.8133 -7.4862 2.7974
-4.8110 -4.8529 -8.0001
-0.6741 -9.4418 -1.2858
```

No. 7
First-principles (GGA-PBE) data for CuAg3Cl8 after structural relaxation, as listed in Alexandria via LeMat-Bulk.

Computed properties:
Its uncorrected formation energy is -0.37 eV/atom. For the spin magnetization, the calculation gives 1.0 μB per cell. For the total energy, the calculation gives -2.66 eV/atom. As for the space group: C2/m, No. 12.

Geometry as POSCAR:
```
CuAg3Cl8
1.0
-5.1433 -4.8896 0.0603
6.5354 -1.7910 -5.4066
1.1991 -1.1808 6.5294
Cu Ag Cl
1 3 8
Cartesian
0.0000 0.0000 0.0000
-2.5716 -2.4448 0.0302
0.6961 -3.3403 -2.6731
3.2677 -0.8955 -2.7033
2.9617 -3.0889 2.1462
-0.3704 -4.7725 -0.9631
-0.1649 -2.0964 4.9755
-2.9801 -4.7727 5.0085
0.2854 -5.4231 2.2173
2.3058 -2.4382 -1.0342
5.5714 -3.0886 -3.8254
2.7562 -5.7650 -3.7924
```

No. 8
First-principles (GGA-PBE) data for Cu3Ag3Cl8 after structural relaxation, as listed in Alexandria via LeMat-Bulk.

Computed properties:
Its uncorrected formation energy is -0.44 eV/atom. For the spin magnetization, the calculation gives 1.6 μB per cell. For the total energy, the calculation gives -2.99 eV/atom. As for the space group: C2/m, No. 12.

Geometry as POSCAR:
```
Cu3Ag3Cl8
1.0
3.8254 6.0290 2.9158
4.0642 -0.4595 6.5395
7.7088 0.3462 0.1143
Cu Ag Cl
3 3 8
Cartesian
5.7688 2.1878 3.5391
9.8296 3.7279 6.0305
0.0000 0.0000 0.0000
1.9127 3.0145 1.4579
2.0321 -0.2298 3.2697
3.8544 0.1731 0.0571
11.6970 4.4362 7.1762
9.9480 1.4221 5.8107
9.8254 4.7534 3.9503
7.9542 4.3410 7.2513
3.9013 1.4796 2.3934
5.6504 4.4936 3.7589
5.7730 1.1623 5.6193
7.6441 1.5747 2.3183
```

No. 9
First-principles (GGA-PBE) data for Cu2AgCl6 after structural relaxation, as listed in Alexandria via LeMat-Bulk.

Computed properties:
Its uncorrected formation energy is -0.43 eV/atom. The value obtained for the energy above the most stable polymorph in this dataset is 0.000 eV per formula unit. For the spin magnetization, the calculation gives 0.0 μB per cell. For the total energy, the calculation gives -2.89 eV/atom.

Geometry as POSCAR:
```
Cu2AgCl6
1.0
5.6242 0.5791 2.9105
2.8403 8.6285 3.4508
1.5001 -0.9521 10.4399
Cu Ag Cl
4 2 12
Cartesian
8.7565 5.7061 14.0170
3.7736 1.5787 5.6159
1.2082 2.5494 2.7842
6.1911 6.6767 11.1853
3.2413 1.5877 9.4198
6.7234 6.6678 7.3814
4.9224 5.4796 9.7137
2.2575 3.8099 4.3170
5.0423 2.7759 7.0875
7.7072 4.4456 12.4842
7.7603 7.0536 9.6183
5.6866 6.2820 5.1440
2.2044 1.2019 7.1829
4.2781 1.9735 11.6572
4.4003 6.3256 12.5773
2.7242 0.3174 4.0840
5.5644 1.9299 4.2239
7.2405 7.9381 12.7172
```

No. 10
First-principles (GGA-PBE) data for Cu2Ag2Cl5 after structural relaxation, as listed in Alexandria via LeMat-Bulk.

Computed properties:
Its uncorrected formation energy is -0.46 eV/atom. The value obtained for the energy above the most stable polymorph in this dataset is 0.000 eV per formula unit. For the spin magnetization, the calculation gives 0.0 μB per cell. For the total energy, the calculation gives -3.02 eV/atom. As for the space group: C2/m, No. 12.

Geometry as POSCAR:
```
Cu2Ag2Cl5
1.0
-3.5154 -1.0532 -0.7948
2.1336 -2.8627 -5.6438
2.1088 -6.2563 7.8325
Cu Ag Cl
2 2 5
Cartesian
-1.3070 -5.4839 4.1779
2.0339 -4.6883 -2.7840
-1.1207 -2.2392 -0.9458
1.8476 -7.9330 2.3397
-1.4270 -3.2521 1.7516
2.1540 -6.9201 -0.3576
-0.5361 -7.1170 2.9321
1.2630 -3.0552 -1.5382
0.0000 0.0000 0.0000
```

No. 11
First-principles (GGA-PBE) data for Cu2AgCl6 after structural relaxation, as listed in Alexandria via LeMat-Bulk.

Computed properties:
Its uncorrected formation energy is -0.40 eV/atom. The value obtained for the energy above the most stable polymorph in this dataset is 0.293 eV per formula unit. For the spin magnetization, the calculation gives 2.3 μB per cell. For the total energy, the calculation gives -2.86 eV/atom. As for the space group: C2/c, No. 15.

Geometry as POSCAR:
```
Cu2AgCl6
1.0
-2.4759 -2.6306 6.4068
3.4817 -7.3489 -0.9910
7.1527 1.0162 3.8623
Cu Ag Cl
4 2 12
Cartesian
7.1832 -4.5210 3.7077
2.6623 -2.1037 2.9608
0.9753 -4.4423 5.5705
5.4962 -6.8597 6.3174
6.1075 -0.6127 4.9006
2.0510 -8.3506 4.3777
5.6840 -6.1286 4.1917
3.0224 -3.0919 0.9709
2.4744 -2.8348 5.0866
5.1361 -5.8715 8.3073
3.5379 -7.9899 6.2812
1.7796 -5.9418 4.0810
4.6206 -0.9734 2.9970
6.3789 -3.0216 5.1972
9.2172 -5.5543 3.7715
0.5689 -1.2060 2.8183
-1.0587 -3.4091 5.5067
7.5896 -7.7573 6.4599
```

No. 12
First-principles (GGA-PBE) data for CuAgCl3 after structural relaxation, as listed in Alexandria via LeMat-Bulk.

Computed properties:
Its uncorrected formation energy is -0.28 eV/atom. The value obtained for the energy above the most stable polymorph in this dataset is 0.911 eV per formula unit. For the spin magnetization, the calculation gives 0.0 μB per cell. For the total energy, the calculation gives -2.77 eV/atom. As for the space group: Pm-3m, No. 221.

Geometry as POSCAR:
```
CuAgCl3
1.0
4.7514 0.0000 0.0000
0.0000 4.7514 0.0000
0.0000 0.0000 4.7514
Cu Ag Cl
1 1 3
Cartesian
0.0000 0.0000 0.0000
2.3757 2.3757 2.3757
0.0000 2.3757 0.0000
0.0000 0.0000 2.3757
2.3757 0.0000 0.0000
```

Repeat the eleventh record exactly.
First-principles (GGA-PBE) data for Cu2AgCl6 after structural relaxation, as listed in Alexandria via LeMat-Bulk.

Computed properties:
Its uncorrected formation energy is -0.40 eV/atom. The value obtained for the energy above the most stable polymorph in this dataset is 0.293 eV per formula unit. For the spin magnetization, the calculation gives 2.3 μB per cell. For the total energy, the calculation gives -2.86 eV/atom. As for the space group: C2/c, No. 15.

Geometry as POSCAR:
```
Cu2AgCl6
1.0
-2.4759 -2.6306 6.4068
3.4817 -7.3489 -0.9910
7.1527 1.0162 3.8623
Cu Ag Cl
4 2 12
Cartesian
7.1832 -4.5210 3.7077
2.6623 -2.1037 2.9608
0.9753 -4.4423 5.5705
5.4962 -6.8597 6.3174
6.1075 -0.6127 4.9006
2.0510 -8.3506 4.3777
5.6840 -6.1286 4.1917
3.0224 -3.0919 0.9709
2.4744 -2.8348 5.0866
5.1361 -5.8715 8.3073
3.5379 -7.9899 6.2812
1.7796 -5.9418 4.0810
4.6206 -0.9734 2.9970
6.3789 -3.0216 5.1972
9.2172 -5.5543 3.7715
0.5689 -1.2060 2.8183
-1.0587 -3.4091 5.5067
7.5896 -7.7573 6.4599
```